Run i
Hf2ScF | PBE-GGA | optimized geometry

Calculated values
The value obtained for the mass density is 9.062 g/cm3. The density of states at the Fermi level comes out at 9.94 states/eV per cell. The space-group type is I-42d, No. 122. The value obtained for the size of the total moment is 0.00 μB/atom.

extended XYZ file:
```
8
Lattice="7.497 0.000 0.000 0.000 7.497 0.000 3.749 3.749 2.744" Properties=species:S:1:pos:R:3 pbc="T T T"
Hf 5.623 6.319 2.058
Hf 4.927 1.874 0.686
Hf 2.571 5.623 0.686
Hf 9.372 8.676 2.058
F 3.749 3.749 0.000
F 3.749 7.497 1.372
Sc 0.000 0.000 0.000
Sc 7.497 3.749 1.372
```

Run ii
Hf2ScF | PBE-GGA | optimized geometry

Calculated values
The value obtained for the mass density is 8.607 g/cm3. The density of states at the Fermi level comes out at 1.96 states/eV per cell. The space-group type is Fm-3m, No. 225. The value obtained for the size of the total moment is 0.00 μB/atom.

extended XYZ file:
```
4
Lattice="-2.835 -1.460 3.669 -3.626 -3.130 -0.827 0.308 -4.565 1.641" Properties=species:S:1:pos:R:3 pbc="T T T"
Hf -1.538 -2.289 1.121
Hf -4.615 -6.866 3.362
F 0.000 0.000 0.000
Sc -3.076 -4.578 2.241
```

Unit: eV/atom. Relative energies: run i 0.000; run ii 0.793.

Run i
HfSeF3 | PBE-GGA | optimized geometry

Calculated values
The value obtained for the mass density is 5.931 g/cm3. The density of states at the Fermi level comes out at 6.95 states/eV per cell. The space-group type is Pm-3m, No. 221. The value obtained for the size of the total moment is 0.00 μB/atom.

extended XYZ file:
```
5
Lattice="4.449 0.000 0.000 0.000 4.449 0.000 0.000 0.000 4.449" Properties=species:S:1:pos:R:3 pbc="T T T"
Se 0.000 0.000 0.000
F 0.000 2.224 0.000
F 2.224 0.000 0.000
F 0.000 0.000 2.224
Hf 2.224 2.224 2.224
```

Run ii
HfSeF3 | PBE-GGA | optimized geometry

Calculated values
The value obtained for the mass density is 6.146 g/cm3. The density of states at the Fermi level comes out at 0.00 states/eV per cell. The space-group type is P1, No. 1. The value obtained for the size of the total moment is 0.00 μB/atom.

extended XYZ file:
```
10
Lattice="-1.691 -2.118 -4.707 0.092 -5.837 1.544 -4.935 1.175 1.556" Properties=species:S:1:pos:R:3 pbc="T T T"
F -1.469 -5.939 -3.120
F -2.800 -4.283 -0.034
F -4.044 -7.133 -2.241
F -3.884 -4.664 -2.397
F -2.538 -2.385 -1.873
F -5.474 -4.268 0.700
Hf -3.732 -3.875 1.802
Hf -1.867 -4.165 -1.952
Se -4.433 -1.586 0.144
Se -0.364 -1.176 0.142
```

Run iii
HfSeF3 | PBE-GGA | optimized geometry

Calculated values
The value obtained for the mass density is 6.943 g/cm3. The density of states at the Fermi level comes out at 5.79 states/eV per cell. The space-group type is Pm-3m, No. 221. The value obtained for the size of the total moment is 0.20 μB/atom.

extended XYZ file:
```
5
Lattice="-1.631 1.768 -3.469 2.398 -2.507 -2.405 -3.067 -2.900 -0.036" Properties=species:S:1:pos:R:3 pbc="T T T"
F 1.199 -1.253 -1.202
F -1.534 -1.450 -0.018
F -0.815 0.884 -1.734
Se -1.150 -1.819 -2.955
Hf 0.000 0.000 0.000
```

Unit: eV/atom. Relative energies: run i 2.678; run ii 0.000; run iii 0.614.